Computed, not measured: a geometry-optimized BaPd structure at the PBE-GGA level of DFT.

Structure (CIF):
```
data_BaPd
_chemical_formula_sum 'Ba4 Pd4'
_cell_length_a 6.514
_cell_length_b 6.514
_cell_length_c 6.514
_cell_angle_alpha 90.00
_cell_angle_beta 90.00
_cell_angle_gamma 90.00
_space_group_name_H-M_alt 'F m -3 m'
_space_group_IT_number 225
_space_group_name_Hall '-F 4 2 3'
loop_
_atom_site_label
_atom_site_type_symbol
_atom_site_fract_x
_atom_site_fract_y
_atom_site_fract_z
Ba1 Ba 0.000 0.000 0.000
Pd1 Pd 0.000 0.000 0.500
```

Its size of the total moment is 0.000 μB/f.u. The crystal system is cubic. Its mass density is 5.86 g/cm³. The formation energy comes out at -0.419 eV/atom.